(1)
Density functional theory data (PBE) for crystalline LiYSbPd at its relaxed geometry.

Properties
The density of states at the Fermi level comes out at 6.61 states/eV per cell. The symmetry is F-43m, No. 216. The calculation puts the formation energy (no corrections) at -0.721 eV per atom. The calculation puts the calculated volume at 339 Å³/cell. The calculation puts the total energy at -5.145 eV per atom.

The structure in extended XYZ format:
```
16
Lattice="6.9733 0.0000 0.0000 0.0000 6.9733 0.0000 0.0000 0.0000 6.9733" Properties=species:S:1:pos:R:3 pbc="T T T"
Li 0.0000 0.0000 0.0000
Li 0.0000 3.4866 3.4866
Li 3.4866 0.0000 3.4866
Li 3.4866 3.4866 0.0000
Y 0.0000 0.0000 3.4866
Y 0.0000 3.4866 0.0000
Y 3.4866 0.0000 0.0000
Y 3.4866 3.4866 3.4866
Sb 1.7433 1.7433 5.2300
Sb 1.7433 5.2300 1.7433
Sb 5.2300 1.7433 1.7433
Sb 5.2300 5.2300 5.2300
Pd 1.7433 1.7433 1.7433
Pd 1.7433 5.2300 5.2300
Pd 5.2300 1.7433 5.2300
Pd 5.2300 5.2300 1.7433
```


(2)
Density functional theory data (PBE) for crystalline InNi2Au2 at its relaxed geometry.

Properties
The density of states at the Fermi level comes out at 6.44 states/eV per cell. The energy above the most stable polymorph in this dataset comes out at 0.233 eV/atom. The symmetry is I4/mmm, No. 139. The formation energy is 0.18 eV/atom. The calculation puts the calculated volume at 175 Å³/cell. The calculation puts the total energy at -3.987 eV per atom.

The structure in extended XYZ format:
```
10
Lattice="3.8238 0.0000 0.0000 0.0000 3.8238 0.0000 0.0000 0.0000 11.9391" Properties=species:S:1:pos:R:3 pbc="T T T"
In 0.0000 0.0000 0.0000
In 1.9119 1.9119 5.9695
Ni 0.0000 0.0000 4.8168
Ni 0.0000 0.0000 7.1223
Ni 1.9119 1.9119 1.1528
Ni 1.9119 1.9119 10.7863
Au 0.0000 1.9119 2.9848
Au 0.0000 1.9119 8.9543
Au 1.9119 0.0000 2.9848
Au 1.9119 0.0000 8.9543
```